Entry 1:
DFT (GGA-PBE) results for a relaxed structure of Pm5Er2.

abc: 3.528 6.180 11.843
angles: 101.56 81.43 73.41
Atoms (fractional coordinates):
Pm1 0.247 0.217 0.289
Pm2 0.000 0.000 0.000
Pm3 0.753 0.783 0.711
Pm4 0.628 0.607 0.136
Pm5 0.372 0.393 0.864
Er1 0.411 0.736 0.441
Er2 0.589 0.264 0.559

Results
The calculation puts the energy relative to the lowest polymorph listed for this composition at 8.3 kJ per mole of atoms.

Entry 2:
DFT (GGA-PBE) results for a relaxed structure of Pm3Er.

abc: 7.331 7.331 5.803
angles: 90.00 90.00 120.00
Atoms (fractional coordinates):
Er1 0.333 0.667 0.750
Er2 0.667 0.333 0.250
Pm1 0.833 0.167 0.750
Pm2 0.167 0.833 0.250
Pm3 0.167 0.335 0.250
Pm4 0.833 0.665 0.750
Pm5 0.665 0.833 0.250
Pm6 0.335 0.167 0.750

Results
The calculation puts the energy relative to the lowest polymorph listed for this composition at 0.6 kJ per mole of atoms.

Entry 3:
DFT (GGA-PBE) results for a relaxed structure of Pm3Er.

abc: 5.900 9.932 5.775
angles: 90.00 90.00 90.00
Atoms (fractional coordinates):
Er1 0.500 0.500 0.000
Er2 0.500 0.000 0.500
Pm1 0.500 0.667 0.500
Pm2 0.500 0.833 0.000
Pm3 0.000 0.500 0.000
Pm4 0.500 0.167 0.000
Pm5 0.500 0.333 0.500
Pm6 0.000 0.000 0.500

Results
The calculation puts the energy relative to the lowest polymorph listed for this composition at 67.9 kJ per mole of atoms.

Entry 4:
DFT (GGA-PBE) results for a relaxed structure of PmEr4.

abc: 3.528 3.528 12.784
angles: 97.93 97.93 90.00
Atoms (fractional coordinates):
Er1 0.398 0.398 0.796
Er2 0.602 0.602 0.204
Er3 0.201 0.201 0.402
Er4 0.799 0.799 0.598
Pm1 0.000 0.000 0.000

Results
The calculation puts the energy relative to the lowest polymorph listed for this composition at 0.2 kJ per mole of atoms.

Entry 5:
DFT (GGA-PBE) results for a relaxed structure of Pm5Er2.

abc: 6.339 9.340 8.595
angles: 94.83 111.64 90.00
Atoms (fractional coordinates):
Er1 0.594 0.893 0.859
Er2 0.406 0.107 0.141
Er3 0.735 0.607 0.141
Er4 0.265 0.393 0.859
Pm1 0.450 0.179 0.570
Pm2 0.832 0.250 0.000
Pm3 0.691 0.536 0.719
Pm4 0.880 0.321 0.430
Pm5 0.168 0.750 0.000
Pm6 0.309 0.464 0.281
Pm7 0.972 0.964 0.281
Pm8 0.120 0.679 0.570
Pm9 0.550 0.821 0.430
Pm10 0.028 0.036 0.719

Results
The calculation puts the energy relative to the lowest polymorph listed for this composition at 0.0 kJ per mole of atoms.

Entry 6:
DFT (GGA-PBE) results for a relaxed structure of Pm6Er.

abc: 6.574 6.574 11.277
angles: 90.00 90.00 90.00
Atoms (fractional coordinates):
Pm1 0.000 0.000 0.863
Pm2 0.668 0.168 0.361
Pm3 0.832 0.332 0.639
Pm4 0.500 0.500 0.863
Pm5 0.500 0.500 0.137
Pm6 0.168 0.668 0.639
Pm7 0.332 0.832 0.361
Pm8 0.668 0.832 0.639
Pm9 0.000 0.000 0.137
Pm10 0.168 0.332 0.361
Pm11 0.832 0.668 0.361
Pm12 0.332 0.168 0.639
Er1 0.500 0.000 0.000
Er2 0.000 0.500 0.000

Results
The calculation puts the energy relative to the lowest polymorph listed for this composition at 0.0 kJ per mole of atoms.

Entry 7:
DFT (GGA-PBE) results for a relaxed structure of Pm8Er.

abc: 5.138 8.126 8.126
angles: 84.26 71.57 71.57
Atoms (fractional coordinates):
Pm1 0.666 0.000 0.668
Pm2 0.666 0.668 0.000
Pm3 0.334 0.332 0.000
Pm4 0.333 0.667 0.667
Pm5 0.667 0.333 0.333
Pm6 0.000 0.333 0.667
Pm7 0.000 0.667 0.333
Pm8 0.334 0.000 0.332
Er1 0.000 0.000 0.000

Entry 8:
DFT (GGA-PBE) results for a relaxed structure of Pm4Er.

abc: 5.789 5.789 5.789
angles: 90.00 90.00 90.00
Atoms (fractional coordinates):
Pm1 0.500 0.000 0.500
Pm2 0.500 0.500 0.000
Pm3 0.000 0.000 0.000
Pm4 0.000 0.500 0.500
Er1 0.500 0.500 0.500

Results
The calculation puts the energy relative to the lowest polymorph listed for this composition at 61.7 kJ per mole of atoms.

Entry 9:
DFT (GGA-PBE) results for a relaxed structure of Pm3Er.

abc: 3.668 6.316 6.871
angles: 117.37 105.48 90.00
Atoms (fractional coordinates):
Pm1 0.252 0.585 0.504
Pm2 0.748 0.081 0.496
Pm3 0.500 0.499 0.000
Er1 0.000 0.001 0.000

Results
The calculation puts the energy relative to the lowest polymorph listed for this composition at 1.1 kJ per mole of atoms.

Entry 10:
DFT (GGA-PBE) results for a relaxed structure of Pm4Er.

abc: 3.622 3.622 14.884
angles: 83.06 83.06 59.98
Atoms (fractional coordinates):
Pm1 0.799 0.799 0.601
Pm2 0.201 0.201 0.399
Pm3 0.399 0.399 0.804
Pm4 0.601 0.601 0.196
Er1 0.000 0.000 0.000

Results
The calculation puts the energy relative to the lowest polymorph listed for this composition at 0.0 kJ per mole of atoms.

Entry 11:
DFT (GGA-PBE) results for a relaxed structure of Pm2Er.

abc: 6.631 6.631 6.631
angles: 60.00 60.00 60.00
Atoms (fractional coordinates):
Pm1 0.125 0.625 0.625
Pm2 0.625 0.625 0.625
Pm3 0.625 0.625 0.125
Pm4 0.625 0.125 0.625
Er1 0.000 0.000 0.000
Er2 0.250 0.250 0.250

Results
The calculation puts the energy relative to the lowest polymorph listed for this composition at 23.3 kJ per mole of atoms.

Entry 12:
DFT (GGA-PBE) results for a relaxed structure of Pm3Er.

abc: 6.259 6.259 6.259
angles: 131.80 131.80 70.55
Atoms (fractional coordinates):
Er1 0.000 0.000 0.000
Pm1 0.250 0.750 0.500
Pm2 0.750 0.250 0.500
Pm3 0.500 0.500 0.000

Results
The calculation puts the energy relative to the lowest polymorph listed for this composition at 0.0 kJ per mole of atoms.

Here are the calculated total DFT energy (no corrections) numbers, same order: -4.587; -4.682; -3.985; -4.576; -4.673; -4.477; -4.715; -4.061; -4.677; -4.700; -4.425; -4.688 (eV/atom).